No. 1
The following is a PBE calculation of DyEr2Sc5 after structural relaxation, from the Alexandria database.

Calculated values
* crystal system: tetragonal
* E_tot: -5.615 eV per atom
* ΔE to the lowest computed polymorph: 39 meV per atom
* magnetic moment: 0.0 Bohr magnetons per cell

Cell lengths 6.7554, 6.7554, 9.3733 Å; angles 90.00, 90.00, 90.00 degrees
Last column: nearest neighbours and their distance in Å.
Space group I4/mmm (No. 139)
Asymmetric unit:
Dy 0.0000 0.0000 0.0000 [2 per cell]  8 Sc 3.35, 4 Er 3.38
Er 0.0000 0.5000 0.0000 [4 per cell]  10 Sc 3.35-3.38, 2 Dy 3.38
Sc 0.0000 0.0000 0.5000 [2 per cell]  8 Sc 3.35, 4 Er 3.38
Sc 0.2500 0.2500 0.2500 [8 per cell]  2 Dy 3.35, 4 Er 3.35, 6 Sc 3.35-3.38

***

No. 2
The following is a PBE calculation of Dy3ErSc3 after structural relaxation, from the Alexandria database.

Calculated values
* crystal system: trigonal
* E_tot: -5.146 eV per atom
* ΔE to the lowest computed polymorph: 37 meV per atom
* magnetic moment: 0.0 Bohr magnetons per cell

Cell lengths 8.2873, 8.2873, 20.7917 Å; angles 90.00, 90.00, 120.00 degrees
Last column: nearest neighbours and their distance in Å.
Space group R-3 (No. 148, hexagonal axes)
Asymmetric unit:
Dy 0.0510 0.4487 0.3816 [18 per cell]  4 Sc 3.17-3.45, 2 Dy 3.47, 1 Er 3.48
Er 0.0000 0.0000 0.1525 [6 per cell]  6 Sc 3.40-3.65, 6 Dy 3.48-3.56
Sc 0.0057 0.2272 0.5566 [18 per cell]  4 Sc 3.00-3.22, 3 Dy 3.17-3.33

***

No. 3
The following is a PBE calculation of Dy2ErSc9 after structural relaxation, from the Alexandria database.

Calculated values
* crystal system: trigonal
* E_tot: -5.634 eV per atom
* magnetic moment: 6.1 Bohr magnetons per cell

Cell lengths 6.3700, 6.3700, 28.2207 Å; angles 90.00, 90.00, 120.00 degrees
Last column: nearest neighbours and their distance in Å.
Space group R-3m (No. 166, hexagonal axes)
Asymmetric unit:
Dy 0.0000 0.0000 0.1353 [6 per cell]  12 Sc 3.46-3.78, 1 Er 3.82
Er 0.0000 0.0000 0.0000 [3 per cell]  18 Sc 3.68-4.03, 2 Dy 3.82
Sc 0.0000 0.0000 0.3349 [6 per cell]  6 Sc 3.08-3.09
Sc 0.0000 0.0000 0.5000 [3 per cell]  6 Sc 2.94
Sc 0.0125 0.5062 0.9124 [18 per cell]  5 Sc 2.94-3.09

***

No. 4
The following is a PBE calculation of Dy7Er3Sc after structural relaxation, from the Alexandria database.

Calculated values
* crystal system: monoclinic
* E_tot: -4.596 eV per atom
* ΔE to the lowest computed polymorph: 0 meV per atom
* magnetic moment: 0.0 Bohr magnetons per cell

Cell lengths 6.7383, 5.4220, 9.7712 Å; angles 90.00, 104.44, 90.00 degrees
Last column: nearest neighbours and their distance in Å.
Space group P2/m (No. 10)
Asymmetric unit:
Dy 0.0000 0.0000 0.0000 [1 per cell]  4 Er 3.29, 2 Dy 3.62
Dy 0.1635 0.5000 0.2851 [2 per cell]  3 Dy 3.21-3.54, 2 Er 3.24-3.37
Dy 0.3134 0.5000 0.6242 [2 per cell]  5 Dy 3.21-3.54, 2 Sc 3.34, 3 Er 3.46-3.55
Dy 0.4590 0.0000 0.8270 [2 per cell]  1 Sc 3.27, 4 Dy 3.29-3.62, 4 Er 3.49-3.55
Er 0.0000 0.0000 0.5000 [1 per cell]  2 Sc 3.37, 8 Dy 3.46-3.76
Er 0.2673 0.5000 0.9788 [2 per cell]  1 Er 3.06, 4 Dy 3.24-3.37
Sc 0.5000 0.0000 0.5000 [1 per cell]  6 Dy 3.27-3.34, 2 Er 3.37